# 1
! SrMnSn2Br8 PBE optimized geometry; values from VASP
&SYSTEM
  ibrav = 0, nat = 12, ntyp = 4
/
ATOMIC_SPECIES
Mn 54.94 Mn.upf
Br 79.90 Br.upf
Sn 118.71 Sn.upf
Sr 87.62 Sr.upf
CELL_PARAMETERS angstrom
7.048 0.026 -0.005
0.059 6.714 -0.008
0.006 0.010 8.789
ATOMIC_POSITIONS angstrom
Mn 0.000 0.000 0.000
Br 1.139 5.201 1.936
Br 2.251 1.634 -0.003
Br 4.862 5.116 8.779
Br 2.468 1.808 4.390
Br 1.142 5.207 6.839
Br 5.971 1.543 1.937
Br 5.975 1.549 6.841
Br 4.646 4.942 4.386
Sn 3.559 3.378 6.712
Sn 3.555 3.372 2.065
Sr 0.003 0.005 4.394
! - Energy relative to the elements, uncorrected: -1.07 eV per atom
! - Symmetry: P2/m (10)

# 2
! HoTmHfN3 PBE optimized geometry; values from VASP
&SYSTEM
  ibrav = 0, nat = 12, ntyp = 4
/
ATOMIC_SPECIES
Ho 164.93 Ho.upf
Tm 168.93 Tm.upf
Hf 178.49 Hf.upf
N 14.01 N.upf
CELL_PARAMETERS angstrom
3.314 0.000 0.000
0.000 5.672 0.291
0.000 -2.081 8.499
ATOMIC_POSITIONS angstrom
Ho 2.486 2.314 6.165
Ho 0.829 1.277 2.625
Tm 2.486 4.047 3.324
Tm 0.829 -0.456 5.466
Hf 0.829 4.250 0.597
Hf 2.486 -0.659 8.193
N 0.829 3.177 4.569
N 0.829 3.706 7.561
N 2.486 2.762 1.430
N 2.486 0.414 4.221
N 0.829 0.829 7.360
N 2.486 -0.114 1.230
! - Energy relative to the elements, uncorrected: -1.57 eV per atom
! - Symmetry: P2_1/m (11)

# 3
! RbSrScBr6 PBE optimized geometry; values from VASP
&SYSTEM
  ibrav = 0, nat = 18, ntyp = 4
/
ATOMIC_SPECIES
Br 79.90 Br.upf
Rb 85.47 Rb.upf
Sr 87.62 Sr.upf
Sc 44.96 Sc.upf
CELL_PARAMETERS angstrom
7.575 0.000 0.000
-3.787 6.560 0.000
0.000 0.000 14.609
ATOMIC_POSITIONS angstrom
Br 2.597 4.001 2.075
Br 2.166 4.250 9.380
Br 4.763 0.249 5.229
Br 1.190 2.559 12.533
Br -0.976 6.311 9.380
Br 2.811 0.249 2.075
Br -1.190 2.559 9.380
Br 4.977 4.001 5.229
Br 5.953 2.310 2.075
Br -2.166 4.250 12.533
Br 0.976 6.311 12.533
Br 1.621 2.310 5.229
Rb 0.000 0.000 7.304
Rb 0.000 0.000 0.000
Sr 0.000 4.373 3.652
Sr 3.787 2.187 10.956
Sc 0.000 4.373 10.956
Sc 3.787 2.187 3.652
! - Energy relative to the elements, uncorrected: -1.87 eV per atom
! - Symmetry: P-31c (163)

# 4
! AlHgAu4 PBE optimized geometry; values from VASP
&SYSTEM
  ibrav = 0, nat = 6, ntyp = 3
/
ATOMIC_SPECIES
Au 196.97 Au.upf
Hg 200.59 Hg.upf
Al 26.98 Al.upf
CELL_PARAMETERS angstrom
3.308 0.000 0.000
0.000 3.307 0.000
0.000 0.001 9.973
ATOMIC_POSITIONS angstrom
Au 0.000 1.654 6.398
Au 1.654 0.001 8.130
Au 0.000 1.654 3.574
Au 1.654 3.307 1.842
Hg 0.000 1.654 0.000
Al 1.654 0.001 4.986
! - ΔH_f (0 K): -0.629 eV per formula unit
! - Symmetry: P4/mmm (123)

# 5
! Ac8TlCo3I4 PBE optimized geometry; values from VASP
&SYSTEM
  ibrav = 0, nat = 16, ntyp = 4
/
ATOMIC_SPECIES
Ac 227.00 Ac.upf
Co 58.93 Co.upf
I 126.90 I.upf
Tl 204.38 Tl.upf
CELL_PARAMETERS angstrom
8.904 0.000 0.000
0.000 9.955 0.751
-4.452 -4.468 6.290
ATOMIC_POSITIONS angstrom
Ac 6.477 2.888 0.610
Ac 2.025 2.599 6.432
Ac 4.452 0.859 3.473
Ac 4.452 4.808 3.409
Ac 2.427 2.888 0.610
Ac 0.000 0.679 3.633
Ac -2.025 2.599 6.432
Ac 0.000 4.628 3.569
Co 4.452 4.978 0.376
Co -2.226 2.744 3.521
Co 2.226 2.744 3.521
I 0.000 0.000 0.000
I 2.226 -2.234 3.145
I -2.226 -2.234 3.145
I 4.452 0.000 0.000
Tl 0.000 4.978 0.376
! - Energy relative to the elements, uncorrected: -0.58 eV per atom
! - Symmetry: R-3m (166)

# 6
! SmDyCu2 PBE optimized geometry; values from VASP
&SYSTEM
  ibrav = 0, nat = 4, ntyp = 3
/
ATOMIC_SPECIES
Cu 63.55 Cu.upf
Sm 150.36 Sm.upf
Dy 162.50 Dy.upf
CELL_PARAMETERS angstrom
3.806 0.000 -0.047
0.000 4.491 0.000
-1.899 0.000 5.225
ATOMIC_POSITIONS angstrom
Cu -1.031 0.000 2.944
Cu -1.015 2.246 4.386
Sm 0.885 0.000 5.131
Dy 0.875 2.246 2.200
! - ΔH_f (0 K): -0.912 eV per formula unit
! - Symmetry: Pm (6)

# 7
! ReTcC3 PBE optimized geometry; values from VASP
&SYSTEM
  ibrav = 0, nat = 5, ntyp = 3
/
ATOMIC_SPECIES
Re 186.21 Re.upf
C 12.01 C.upf
Tc 98.00 Tc.upf
CELL_PARAMETERS angstrom
-1.838 0.585 3.459
1.142 -3.592 1.214
3.317 1.561 1.498
ATOMIC_POSITIONS angstrom
Re 0.000 0.000 0.000
C -0.919 0.292 1.729
C 0.571 -1.796 0.607
C 1.658 0.780 0.749
Tc 1.310 -0.723 3.086
! - ΔH_f (0 K): 10.966 eV per formula unit
! - Symmetry: Pm-3m (221)

# 8
! Pr4NiRh PBE optimized geometry; values from VASP
&SYSTEM
  ibrav = 0, nat = 12, ntyp = 3
/
ATOMIC_SPECIES
Pr 140.91 Pr.upf
Rh 102.91 Rh.upf
Ni 58.69 Ni.upf
CELL_PARAMETERS angstrom
-1.868 6.255 -2.690
-4.834 -4.634 -2.242
-0.777 0.563 8.509
ATOMIC_POSITIONS angstrom
Pr -6.002 3.380 3.608
Pr -4.923 -0.100 -2.627
Pr -3.838 2.553 0.618
Pr -2.556 2.284 6.205
Pr -3.641 -0.369 2.960
Pr -1.477 -1.196 -0.031
Pr -2.118 5.102 2.757
Pr -5.361 -2.918 0.821
Rh -4.150 -0.332 0.060
Rh -3.330 2.516 3.517
Ni -4.752 -2.949 3.652
Ni -2.727 5.133 -0.075
! - ΔH_f (0 K): -1.643 eV per formula unit
! - Symmetry: P-1 (2)